No. 1
Here is a geometry-optimized Sc2SiPt structure from Alexandria via LeMat-Bulk. Energies are from GGA-PBE.

Lattice parameters (Å, degrees): 3.170 3.170 7.511 90.00 90.00 90.00
Atoms (fractional coordinates):
Sc 0.000 0.000 0.000
Sc 0.500 0.500 0.346
Si 0.000 0.000 0.589
Pt 0.500 0.500 0.753

***

No. 2
Here is a geometry-optimized ScSi2Pt structure from Alexandria via LeMat-Bulk. Energies are from GGA-PBE.

Lattice parameters (Å, degrees): 4.041 4.041 5.292 112.47 112.47 59.88
Atoms (fractional coordinates):
Sc 0.000 0.000 0.000
Si 0.223 0.223 0.669
Si 0.777 0.777 0.331
Pt 0.500 0.500 0.500

***

No. 3
Here is a geometry-optimized Sc3Si3Pt2 structure from Alexandria via LeMat-Bulk. Energies are from GGA-PBE.

Lattice parameters (Å, degrees): 7.682 13.621 5.381 90.00 90.00 90.00
Atoms (fractional coordinates):
Sc 0.041 0.114 0.125
Sc 0.041 0.386 0.125
Sc 0.190 0.250 0.620
Sc 0.310 0.750 0.120
Sc 0.459 0.614 0.625
Sc 0.459 0.886 0.625
Sc 0.541 0.114 0.375
Sc 0.541 0.386 0.375
Sc 0.690 0.250 0.880
Sc 0.810 0.750 0.380
Sc 0.959 0.614 0.875
Sc 0.959 0.886 0.875
Si 0.175 0.750 0.623
Si 0.201 0.040 0.595
Si 0.201 0.460 0.595
Si 0.299 0.540 0.095
Si 0.299 0.960 0.095
Si 0.325 0.250 0.123
Si 0.675 0.750 0.877
Si 0.701 0.040 0.905
Si 0.701 0.460 0.905
Si 0.799 0.540 0.405
Si 0.799 0.960 0.405
Si 0.825 0.250 0.377
Pt 0.089 0.606 0.374
Pt 0.089 0.894 0.374
Pt 0.411 0.106 0.874
Pt 0.411 0.394 0.874
Pt 0.589 0.606 0.126
Pt 0.589 0.894 0.126
Pt 0.911 0.106 0.626
Pt 0.911 0.394 0.626

***

No. 4
Here is a geometry-optimized ScSi2Pt structure from Alexandria via LeMat-Bulk. Energies are from GGA-PBE.

Lattice parameters (Å, degrees): 4.549 4.549 4.624 105.30 105.30 46.44
Atoms (fractional coordinates):
Sc 0.000 0.000 0.000
Si 0.502 0.502 0.493
Si 0.767 0.767 0.300
Pt 0.234 0.234 0.654

***

No. 5
Here is a geometry-optimized ScSi2Pt7 structure from Alexandria via LeMat-Bulk. Energies are from GGA-PBE.

Lattice parameters (Å, degrees): 10.337 10.337 10.337 157.67 157.67 31.79
Atoms (fractional coordinates):
Sc 0.000 0.000 0.000
Si 0.325 0.325 0.000
Si 0.675 0.675 0.000
Pt 0.104 0.604 0.500
Pt 0.250 0.750 0.500
Pt 0.396 0.896 0.500
Pt 0.500 0.500 0.000
Pt 0.604 0.104 0.500
Pt 0.750 0.250 0.500
Pt 0.896 0.396 0.500

***

No. 6
Here is a geometry-optimized Sc2SiPt structure from Alexandria via LeMat-Bulk. Energies are from GGA-PBE.

Lattice parameters (Å, degrees): 4.155 5.387 5.387 38.21 90.00 90.00
Atoms (fractional coordinates):
Sc 0.000 0.000 0.000
Sc 0.500 0.290 0.290
Si 0.500 0.567 0.567
Pt 0.000 0.723 0.723

***

No. 7
Here is a geometry-optimized Sc4Si2Pt7 structure from Alexandria via LeMat-Bulk. Energies are from GGA-PBE.

Lattice parameters (Å, degrees): 6.542 16.381 4.002 90.00 90.00 90.00
Atoms (fractional coordinates):
Sc 0.025 0.209 0.000
Sc 0.214 0.961 0.000
Sc 0.286 0.461 0.000
Sc 0.475 0.709 0.000
Sc 0.525 0.291 0.000
Sc 0.714 0.539 0.000
Sc 0.786 0.039 0.000
Sc 0.975 0.791 0.000
Si 0.162 0.693 0.500
Si 0.338 0.193 0.500
Si 0.662 0.807 0.500
Si 0.838 0.307 0.500
Pt 0.000 0.500 0.500
Pt 0.092 0.618 0.000
Pt 0.093 0.079 0.500
Pt 0.214 0.332 0.500
Pt 0.286 0.832 0.500
Pt 0.407 0.579 0.500
Pt 0.408 0.118 0.000
Pt 0.500 0.000 0.500
Pt 0.592 0.882 0.000
Pt 0.593 0.421 0.500
Pt 0.714 0.168 0.500
Pt 0.786 0.668 0.500
Pt 0.907 0.921 0.500
Pt 0.908 0.382 0.000

***

No. 8
Here is a geometry-optimized Sc3Si3Pt structure from Alexandria via LeMat-Bulk. Energies are from GGA-PBE.

polymorph energy (0 for the lowest one)	0	meV per atom

Lattice parameters (Å, degrees): 11.710 4.037 10.250 90.00 90.00 90.00
Atoms (fractional coordinates):
Sc 0.021 0.250 0.124
Sc 0.099 0.250 0.420
Sc 0.199 0.750 0.658
Sc 0.301 0.250 0.158
Sc 0.401 0.750 0.920
Sc 0.479 0.750 0.624
Sc 0.521 0.250 0.376
Sc 0.599 0.250 0.080
Sc 0.699 0.750 0.842
Sc 0.801 0.250 0.342
Sc 0.901 0.750 0.580
Sc 0.979 0.750 0.876
Si 0.043 0.250 0.688
Si 0.156 0.750 0.247
Si 0.175 0.750 0.017
Si 0.325 0.250 0.517
Si 0.344 0.250 0.747
Si 0.457 0.750 0.188
Si 0.543 0.250 0.812
Si 0.656 0.750 0.253
Si 0.675 0.750 0.483
Si 0.825 0.250 0.983
Si 0.844 0.250 0.753
Si 0.957 0.750 0.312
Pt 0.178 0.250 0.887
Pt 0.322 0.750 0.387
Pt 0.678 0.250 0.613
Pt 0.822 0.750 0.113

***

No. 9
Here is a geometry-optimized ScSi2Pt structure from Alexandria via LeMat-Bulk. Energies are from GGA-PBE.

Lattice parameters (Å, degrees): 3.417 3.417 6.107 90.00 90.00 104.46
Atoms (fractional coordinates):
Sc 0.000 0.000 0.000
Si 0.500 0.500 0.291
Si 0.500 0.500 0.709
Pt 0.000 0.000 0.500

***

No. 10
Here is a geometry-optimized Sc2SiPt structure from Alexandria via LeMat-Bulk. Energies are from GGA-PBE.

Lattice parameters (Å, degrees): 8.018 8.018 8.018 139.76 139.76 58.22
Atoms (fractional coordinates):
Sc 0.124 0.625 0.999
Sc 0.375 0.374 0.499
Sc 0.626 0.125 0.001
Sc 0.875 0.876 0.501
Si 0.000 0.000 0.000
Si 0.750 0.250 0.500
Pt 0.250 0.750 0.500
Pt 0.500 0.500 0.000

***

No. 11
Here is a geometry-optimized Sc3Si3Pt structure from Alexandria via LeMat-Bulk. Energies are from GGA-PBE.

polymorph energy (0 for the lowest one)	24	meV per atom

Lattice parameters (Å, degrees): 5.376 5.376 12.952 108.07 108.07 44.42
Atoms (fractional coordinates):
Sc 0.022 0.022 0.374
Sc 0.104 0.104 0.924
Sc 0.237 0.237 0.223
Sc 0.763 0.763 0.777
Sc 0.896 0.896 0.076
Sc 0.978 0.978 0.626
Si 0.374 0.374 0.457
Si 0.385 0.385 0.926
Si 0.475 0.475 0.772
Si 0.525 0.525 0.228
Si 0.615 0.615 0.074
Si 0.626 0.626 0.543
Pt 0.258 0.258 0.607
Pt 0.742 0.742 0.393

***

No. 12
Here is a geometry-optimized ScSi2Pt structure from Alexandria via LeMat-Bulk. Energies are from GGA-PBE.

Lattice parameters (Å, degrees): 5.173 5.173 5.173 137.15 136.27 62.89
Atoms (fractional coordinates):
Sc 0.000 0.000 0.000
Si 0.553 0.553 0.000
Si 0.760 0.260 0.500
Pt 0.248 0.748 0.500

***

Sequential formation energy (no corrections) output: -0.577; -0.735; -1.022; -0.574; -0.892; -1.031; -1.190; -1.008; -0.448; -0.104; -0.983; -0.616 eV/atom
Sequential final energy output: -6.609; -6.540; -6.941; -6.379; -6.838; -7.063; -7.225; -6.908; -6.253; -6.135; -6.884; -6.420 eV per atom
Sequential V output: 75.5; 67.1; 563.0; 66.4; 159.3; 74.6; 428.9; 484.6; 69.0; 213.2; 246.8; 64.3 Å³/cell